Entry from the Alexandria database: LiCaAg2 at its PBEsol-relaxed geometry (meta-GGA SCAN).

Geometry as extended XYZ:
```
4
Lattice="4.8950 0.0000 0.0000 -2.4475 4.2190 0.0718 0.0000 2.7710 4.0352" Properties=species:S:1:pos:R:3 pbc="T T T"
Ag 0.0000 2.8023 1.0447
Ca 2.4475 1.3855 2.0176
Ag 2.4475 4.1877 3.0623
Li 0.0000 0.0000 0.0000
```

Values from the calculation:
DOS at the Fermi energy: 0.3151 states/eV/atom
Total magnetization: 0.00 μB per formula unit
Energy of formation: -0.197 eV per atom
Excess energy over the best structure of this formula in the dataset: 0.0491 eV per atom
Calculated density: 5298 kg/m3


Entry from the Alexandria database: CdMoS2N at its PBEsol-relaxed geometry (meta-GGA SCAN).

Geometry as extended XYZ:
```
5
Lattice="-0.2717 3.5226 -1.7630 -4.9367 -0.1298 0.5014 0.3893 2.2388 4.4131" Properties=species:S:1:pos:R:3 pbc="T T T"
N -0.1358 1.7613 -0.8815
Cd 0.0000 0.0000 0.0000
Mo -2.4095 2.8158 1.5757
S -2.4684 -0.0649 0.2507
S 0.1947 1.1194 2.2066
```

Values from the calculation:
DOS at the Fermi energy: 0.4546 states/eV/atom
Total magnetization: 5.71 μB per formula unit
Raw total energy: -17.38 eV/atom
Calculated density: 4890 kg/m3


Entry from the Alexandria database: CeCuSi at its PBEsol-relaxed geometry (meta-GGA SCAN).

Geometry as extended XYZ:
```
6
Lattice="4.0844 0.0000 0.0000 -2.0422 3.5372 0.0000 0.0000 0.0000 7.8664" Properties=species:S:1:pos:R:3 pbc="T T T"
Ce 0.0000 0.0000 3.9332
Si 0.0000 2.3581 5.8998
Cu 2.0422 1.1791 5.8998
Ce 0.0000 0.0000 0.0000
Si 2.0422 1.1791 1.9666
Cu 0.0000 2.3581 1.9666
```

Values from the calculation:
DOS at the Fermi energy: 0.7296 states/eV/atom
Total magnetization: 1.02 μB per formula unit
Raw total energy: -23.85 eV/atom
Calculated density: 6772 kg/m3


Entry from the Alexandria database: SrCd3Sb at its PBEsol-relaxed geometry (meta-GGA SCAN).

Geometry as extended XYZ:
```
5
Lattice="-1.5214 2.7057 4.5844 2.3968 -3.9092 3.1026 4.7532 2.8373 -0.0971" Properties=species:S:1:pos:R:3 pbc="T T T"
Sb 0.0000 0.0000 0.0000
Cd -0.7607 1.3528 2.2922
Sr 2.8143 0.8169 3.7950
Cd 1.1984 -1.9546 1.5513
Cd 2.3766 1.4186 -0.0485
```

Values from the calculation:
DOS at the Fermi energy: 0.4860 states/eV/atom
Total magnetization: 0.00 μB per formula unit
Raw total energy: -30.01 eV/atom
Calculated density: 5348 kg/m3


Entry from the Alexandria database: ErNi4B at its PBEsol-relaxed geometry (meta-GGA SCAN).

Geometry as extended XYZ:
```
12
Lattice="4.8711 0.0000 0.0000 -2.4355 4.2185 0.0000 0.0000 0.0000 6.8668" Properties=species:S:1:pos:R:3 pbc="T T T"
Ni 2.4355 1.4062 0.0000
Ni -1.2178 2.1092 4.8758
B 0.0000 2.8123 3.4334
Er 0.0000 0.0000 3.4334
Ni 2.4355 0.0000 4.8758
Er 0.0000 0.0000 0.0000
Ni 0.0000 2.8123 0.0000
B 2.4355 1.4062 3.4334
Ni 2.4355 0.0000 1.9909
Ni -1.2178 2.1092 1.9909
Ni 1.2178 2.1092 1.9909
Ni 1.2178 2.1092 4.8758
```

Values from the calculation:
DOS at the Fermi energy: 0.3075 states/eV/atom
Total magnetization: 0.00 μB per formula unit
Energy of formation: -0.514 eV per atom
Calculated density: 9717 kg/m3


Entry from the Alexandria database: KMg2ZrAs at its PBEsol-relaxed geometry (meta-GGA SCAN).

Geometry as extended XYZ:
```
5
Lattice="-3.8350 -2.6735 -2.1357 0.2912 -3.8129 4.2502 -3.7952 3.0503 2.9965" Properties=species:S:1:pos:R:3 pbc="T T T"
Zr 0.0000 0.0000 0.0000
Mg -1.8976 1.5252 1.4982
Mg 0.1456 -1.9064 2.1251
K -3.6695 -1.7180 2.5555
As -1.9175 -1.3367 -1.0678
```

Values from the calculation:
DOS at the Fermi energy: 0.5183 states/eV/atom
Total magnetization: 1.19 μB per formula unit
Energy of formation: 0.189 eV per atom
Calculated density: 2509 kg/m3


Entry from the Alexandria database: ScAlW at its PBEsol-relaxed geometry (meta-GGA SCAN).

Geometry as extended XYZ:
```
3
Lattice="-2.2466 -1.0384 2.2647 2.1556 -2.3391 1.0659 1.7496 4.6478 1.3820" Properties=species:S:1:pos:R:3 pbc="T T T"
Al 1.6046 1.1764 4.6158
Sc 0.5351 -0.6807 2.7034
W 1.1777 2.0449 2.1058
```

Values from the calculation:
DOS at the Fermi energy: 0.8482 states/eV/atom
Total magnetization: 0.43 μB per formula unit
Energy of formation: 0.079 eV per atom
Excess energy over the best structure of this formula in the dataset: 0.0000 eV per atom
Calculated density: 8246 kg/m3


Entry from the Alexandria database: Ni2Pt at its PBEsol-relaxed geometry (meta-GGA SCAN).

Geometry as extended XYZ:
```
12
Lattice="-2.8796 -0.6632 -3.6098 2.5455 -3.5505 1.6362 -5.5891 -1.8001 4.7892" Properties=species:S:1:pos:R:3 pbc="T T T"
Pt -4.2177 -2.6390 0.8350
Ni -1.9420 -1.2767 0.2509
Ni -2.7946 -0.9000 2.3946
Ni -3.3573 -1.6027 -1.5233
Pt -6.3084 -3.3124 2.6265
Pt 0.3852 -2.7014 0.1890
Ni -3.8170 -2.6661 3.5347
Ni -2.1062 -3.3477 -0.7192
Ni -3.9812 -4.7372 2.5646
Ni 0.0000 0.0000 0.0000
Ni -2.5659 -4.4112 4.3388
Pt -1.7055 -3.3748 1.9805
```

Values from the calculation:
DOS at the Fermi energy: 1.3704 states/eV/atom
Total magnetization: 1.82 μB per formula unit
Energy of formation: 0.016 eV per atom
Calculated density: 14533 kg/m3